## Lu2InHg (PBE-GGA)

Data for a geometry-optimized Lu2InHg structure.

```
Lu2InHg
1.0
3.683 0.000 0.000
0.000 3.683 0.000
0.000 0.000 7.319
Lu Hg In
2 1 1
Direct
0.000 0.000 0.757
0.000 0.000 0.243
0.500 0.500 0.000
0.500 0.500 0.500
```

Output
Calculated density: 11.13 Mg/m³
DOS(E_F): 0.6191 states/eV/atom
Relative energy among the computed polymorphs: 0.0000 eV/atom
DFT total energy: -3.451 eV per atom